Entry 1:
The following is a DFT calculation (meta-GGA SCAN) of a crystal of BeCu2 relaxed with PBEsol.

a = 2.6756 Å, b = 3.8829 Å, c = 5.9544 Å
α = 90.00°, β = 102.98°, γ = 90.00°
Closest atoms and distances in Å follow each position.
Sites, in units of the cell vectors:
Be: 0.0756 0.2500 0.1511  8 Cu 2.26-2.36
Be: 0.9244 0.7500 0.8489  8 Cu 2.26-2.36
Cu: 0.4183 0.2500 0.8365  6 Be 2.26-2.36, 2 Cu 2.52
Cu: 0.5817 0.7500 0.1635  6 Be 2.26-2.36, 2 Cu 2.52
Cu: 0.7337 0.2500 0.4675  2 Be 2.27, 6 Cu 2.39-2.52
Cu: 0.2663 0.7500 0.5325  2 Be 2.27, 6 Cu 2.39-2.52

## Properties
The total magnetic moment comes out at 0.0 μB per formula unit. Its space group is Cmcm, No. 63. The density is 7499 kg/m³. The total energy comes out at -11.698 eV per atom. The calculation puts the calculated volume at 60.3 Å³ per cell.

=====

Entry 2:
The following is a DFT calculation (meta-GGA SCAN) of a crystal of Ba2B5BrO9 relaxed with PBEsol.

a = 6.6780 Å, b = 11.6509 Å, c = 11.7595 Å
α = 90.00°, β = 90.00°, γ = 90.00°
Closest atoms and distances in Å follow each position.
Sites, in units of the cell vectors:
Ba: 0.1549 0.0467 0.7377  5 O 2.65-2.84
Ba: 0.1549 0.9533 0.2623  5 O 2.65-2.84
Ba: 0.6549 0.5467 0.7623  5 O 2.65-2.84
Ba: 0.6549 0.4533 0.2377  5 O 2.65-2.84
Ba: 0.3085 0.2724 0.4757  6 O 2.68-2.95
Ba: 0.3085 0.7276 0.5243  6 O 2.68-2.95
Ba: 0.8085 0.7724 0.0243  6 O 2.68-2.95
Ba: 0.8085 0.2276 0.9757  6 O 2.68-2.95
B: 0.3071 0.7016 0.1809  4 O 1.48-1.49
B: 0.3071 0.2984 0.8191  4 O 1.48-1.49
B: 0.8071 0.2016 0.3191  4 O 1.48-1.49
B: 0.8071 0.7984 0.6809  4 O 1.48-1.49
B: 0.3414 0.2685 0.0425  3 O 1.36-1.40
B: 0.3414 0.7315 0.9575  3 O 1.36-1.40
B: 0.8414 0.7685 0.4575  3 O 1.36-1.40
B: 0.8414 0.2315 0.5425  3 O 1.36-1.40
B: 0.1768 0.5092 0.2474  3 O 1.37-1.38
B: 0.1768 0.4908 0.7526  3 O 1.37-1.38
B: 0.6768 0.0092 0.2526  3 O 1.37-1.38
B: 0.6768 0.9908 0.7474  3 O 1.37-1.38
B: 0.4610 0.1833 0.2286  4 O 1.47-1.50
B: 0.4610 0.8167 0.7714  4 O 1.47-1.50
B: 0.9610 0.6833 0.2714  4 O 1.47-1.50
B: 0.9610 0.3167 0.7286  4 O 1.47-1.50
B: 0.1269 0.2827 0.2116  4 O 1.45-1.53
B: 0.1269 0.7173 0.7884  4 O 1.45-1.53
B: 0.6269 0.7827 0.2884  4 O 1.45-1.53
B: 0.6269 0.2173 0.7116  4 O 1.45-1.53
Br: 0.0694 0.0000 0.0000  4 Ba 3.18-3.19, 2 O 3.53
Br: 0.5694 0.5000 0.5000  4 Ba 3.18-3.19, 2 O 3.53
Br: 0.3556 0.0000 0.5000  4 Ba 3.15-3.20, 2 O 3.34
Br: 0.8556 0.5000 0.0000  4 Ba 3.15-3.20, 2 O 3.34
O: 0.4969 0.2448 0.1186  2 B 1.40-1.50
O: 0.4969 0.7552 0.8814  2 B 1.40-1.50
O: 0.9969 0.7448 0.3814  2 B 1.40-1.50
O: 0.9969 0.2552 0.6186  2 B 1.40-1.50
O: 0.3979 0.7281 0.0692  2 B 1.37-1.48
O: 0.3979 0.2719 0.9308  2 B 1.37-1.48
O: 0.8979 0.2281 0.4308  2 B 1.37-1.48
O: 0.8979 0.7719 0.5692  2 B 1.37-1.48
O: 0.3270 0.5756 0.2014  2 B 1.38-1.49
O: 0.3270 0.4244 0.7986  2 B 1.38-1.49
O: 0.8270 0.0756 0.2986  2 B 1.38-1.49
O: 0.8270 0.9244 0.7014  2 B 1.38-1.49
O: 0.5931 0.2332 0.3157  2 B 1.47-1.48
O: 0.5931 0.7668 0.6843  2 B 1.47-1.48
O: 0.0931 0.7332 0.1843  2 B 1.47-1.48
O: 0.0931 0.2668 0.8157  2 B 1.47-1.48
O: 0.4137 0.2316 0.7308  2 B 1.45-1.48
O: 0.4137 0.7684 0.2692  2 B 1.45-1.48
O: 0.9137 0.7316 0.7692  2 B 1.45-1.48
O: 0.9137 0.2684 0.2308  2 B 1.45-1.48
O: 0.5045 0.0589 0.2124  2 B 1.37-1.49
O: 0.5045 0.9411 0.7876  2 B 1.37-1.49
O: 0.0045 0.5589 0.2876  2 B 1.37-1.49
O: 0.0045 0.4411 0.7124  2 B 1.37-1.49
O: 0.2495 0.1908 0.2611  2 B 1.47
O: 0.2495 0.8092 0.7389  2 B 1.47
O: 0.7495 0.6908 0.2389  2 B 1.47
O: 0.7495 0.3092 0.7611  2 B 1.47
O: 0.1538 0.2868 0.0848  2 B 1.36-1.50
O: 0.1538 0.7132 0.9152  2 B 1.36-1.50
O: 0.6538 0.7868 0.4152  2 B 1.36-1.50
O: 0.6538 0.2132 0.5848  2 B 1.36-1.50
O: 0.2132 0.3932 0.2618  2 B 1.38-1.53
O: 0.2132 0.6068 0.7382  2 B 1.38-1.53
O: 0.7132 0.8932 0.2382  2 B 1.38-1.53
O: 0.7132 0.1068 0.7618  2 B 1.38-1.53

## Properties
The total magnetic moment comes out at 0.0 μB per formula unit. The calculation puts the formation energy from raw total energies at -2.842 eV/atom. Its space group is Pnn2, No. 34. The density is 4012 kg/m³. The total energy comes out at -14.124 eV per atom. The calculation puts the calculated volume at 914.9 Å³ per cell.

=====

Entry 3:
The following is a DFT calculation (meta-GGA SCAN) of a crystal of SbAu relaxed with PBEsol.

a = 2.9575 Å, b = 3.8399 Å, c = 4.0463 Å
α = 90.00°, β = 90.00°, γ = 90.00°
Closest atoms and distances in Å follow each position.
Sites, in units of the cell vectors:
Sb: 0.0000 0.5000 0.0000  4 Au 2.79, 2 Sb 2.96
Au: 0.0000 0.0000 0.5000  4 Sb 2.79, 2 Au 2.96

## Properties
The total magnetic moment comes out at 0.0 μB per formula unit. The calculation puts the formation energy from raw total energies at -0.082 eV/atom. Its space group is Pmmm, No. 47. The density is 11518 kg/m³. The total energy comes out at -53.291 eV per atom. The calculation puts the calculated volume at 46.0 Å³ per cell.

=====

Entry 4:
The following is a DFT calculation (meta-GGA SCAN) of a crystal of Ni6SbPt relaxed with PBEsol.

a = 6.2911 Å, b = 6.2911 Å, c = 10.2770 Å
α = 90.00°, β = 90.00°, γ = 109.54°
Closest atoms and distances in Å follow each position.
Sites, in units of the cell vectors:
Ni: 0.2491 0.7509 0.7482  8 Ni 2.54-2.59, 2 Pt 2.55-2.56, 2 Sb 2.58-2.59
Ni: 0.8768 0.6284 0.8734  8 Ni 2.55-2.60, 1 Pt 2.56, 3 Sb 2.57-2.59
Ni: 0.1232 0.3716 0.8734  8 Ni 2.55-2.60, 1 Pt 2.56, 3 Sb 2.57-2.59
Ni: 0.7509 0.2491 0.7482  8 Ni 2.54-2.59, 2 Pt 2.55-2.56, 2 Sb 2.58-2.59
Ni: 0.3716 0.1232 0.8734  8 Ni 2.55-2.60, 1 Pt 2.56, 3 Sb 2.57-2.59
Ni: 0.6284 0.8768 0.8734  8 Ni 2.55-2.60, 1 Pt 2.56, 3 Sb 2.57-2.59
Ni: 0.5000 0.5000 0.5000  2 Sb 2.53, 2 Pt 2.55, 8 Ni 2.58
Ni: 0.1214 0.3736 0.6235  8 Ni 2.54-2.59, 3 Pt 2.55-2.56, 1 Sb 2.58
Ni: 0.3736 0.1214 0.6235  8 Ni 2.54-2.59, 3 Pt 2.55-2.56, 1 Sb 2.58
Ni: 0.2491 0.7509 0.2518  8 Ni 2.54-2.59, 2 Pt 2.55-2.56, 2 Sb 2.58-2.59
Ni: 0.8786 0.6264 0.3765  8 Ni 2.54-2.59, 3 Pt 2.55-2.56, 1 Sb 2.58
Ni: 0.1214 0.3736 0.3765  8 Ni 2.54-2.59, 3 Pt 2.55-2.56, 1 Sb 2.58
Ni: 0.7509 0.2491 0.2518  8 Ni 2.54-2.59, 2 Pt 2.55-2.56, 2 Sb 2.58-2.59
Ni: 0.3736 0.1214 0.3765  8 Ni 2.54-2.59, 3 Pt 2.55-2.56, 1 Sb 2.58
Ni: 0.6264 0.8786 0.3765  8 Ni 2.54-2.59, 3 Pt 2.55-2.56, 1 Sb 2.58
Ni: 0.5000 0.5000 0.0000  4 Sb 2.56-2.60, 8 Ni 2.59
Ni: 0.1232 0.3716 0.1266  8 Ni 2.55-2.60, 1 Pt 2.56, 3 Sb 2.57-2.59
Ni: 0.3716 0.1232 0.1266  8 Ni 2.55-2.60, 1 Pt 2.56, 3 Sb 2.57-2.59
Ni: 0.0000 0.0000 0.5000  4 Pt 2.53-2.59, 8 Ni 2.55
Ni: 0.6264 0.8786 0.6235  8 Ni 2.54-2.59, 3 Pt 2.55-2.56, 1 Sb 2.58
Ni: 0.8786 0.6264 0.6235  8 Ni 2.54-2.59, 3 Pt 2.55-2.56, 1 Sb 2.58
Ni: 0.0000 0.0000 0.0000  8 Ni 2.56, 2 Sb 2.58, 2 Pt 2.61
Ni: 0.6284 0.8768 0.1266  8 Ni 2.55-2.60, 1 Pt 2.56, 3 Sb 2.57-2.59
Ni: 0.8768 0.6284 0.1266  8 Ni 2.55-2.60, 1 Pt 2.56, 3 Sb 2.57-2.59
Pt: 0.2521 0.7479 0.5000  12 Ni 2.55-2.59
Pt: 0.7479 0.2521 0.5000  12 Ni 2.55-2.59
Pt: 0.0000 0.0000 0.7464  12 Ni 2.53-2.61
Pt: 0.0000 0.0000 0.2536  12 Ni 2.53-2.61
Sb: 0.2508 0.7492 0.0000  12 Ni 2.56-2.59
Sb: 0.7492 0.2508 0.0000  12 Ni 2.56-2.59
Sb: 0.5000 0.5000 0.7466  12 Ni 2.53-2.60
Sb: 0.5000 0.5000 0.2534  12 Ni 2.53-2.60

## Properties
The total magnetic moment comes out at 3.4 μB per formula unit. The calculation puts the formation energy from raw total energies at -0.089 eV/atom. Its space group is Cmmm, No. 65. The density is 11593 kg/m³. The total energy comes out at -25.650 eV per atom. The calculation puts the calculated volume at 383.3 Å³ per cell.

=====

Entry 5:
The following is a DFT calculation (meta-GGA SCAN) of a crystal of MnAgPO2 relaxed with PBEsol.

a = 3.8779 Å, b = 3.8779 Å, c = 4.8954 Å
α = 90.00°, β = 90.00°, γ = 90.00°
Closest atoms and distances in Å follow each position.
Sites, in units of the cell vectors:
P: 0.0000 0.0000 0.5000  2 Ag 2.45
Mn: 0.5000 0.5000 0.5000  4 P 2.74
O: 0.0000 0.5000 0.0000  2 Ag 1.94
O: 0.5000 0.0000 0.0000  2 Ag 1.94
Ag: 0.0000 0.0000 0.0000  4 O 1.94

## Properties
The total magnetic moment comes out at 4.8 μB per formula unit. The calculation puts the formation energy from raw total energies at 0.332 eV/atom. Its space group is P4/mmm, No. 123. The density is 5093 kg/m³. The total energy comes out at -14.164 eV per atom. The calculation puts the calculated volume at 73.6 Å³ per cell.

=====

Entry 6:
The following is a DFT calculation (meta-GGA SCAN) of a crystal of LaSb2Mo relaxed with PBEsol.

a = 3.5096 Å, b = 3.5096 Å, c = 9.2224 Å
α = 79.03°, β = 79.03°, γ = 60.00°
Closest atoms and distances in Å follow each position.
Sites, in units of the cell vectors:
La: 0.5000 0.5000 0.5000  6 Sb 3.34, 6 La 3.51
Mo: 0.0000 0.0000 0.0000  6 Sb 2.74
Sb: 0.2652 0.2652 0.2044  3 Mo 2.74
Sb: 0.7348 0.7348 0.7956  3 Mo 2.74

## Properties
The total magnetic moment comes out at 0.0 μB per formula unit. The calculation puts the formation energy from raw total energies at -0.119 eV/atom. Its space group is R-3m, No. 166. The density is 8277 kg/m³. The total energy comes out at -38.247 eV per atom. As for the relative energy among the computed polymorphs: 0.0 meV per atom. The calculation puts the calculated volume at 96.0 Å³ per cell.

=====

Entry 7:
The following is a DFT calculation (meta-GGA SCAN) of a crystal of BaCrPd3 relaxed with PBEsol.

a = 4.7754 Å, b = 4.7754 Å, c = 4.7754 Å
α = 90.00°, β = 90.00°, γ = 90.00°
Closest atoms and distances in Å follow each position.
Sites, in units of the cell vectors:
Cr: 0.0000 0.0000 0.0000  6 Pd 2.39
Ba: 0.5000 0.5000 0.5000  12 Pd 3.38
Pd: 0.0000 0.5000 0.0000  2 Cr 2.39
Pd: 0.0000 0.0000 0.5000  2 Cr 2.39
Pd: 0.5000 0.0000 0.0000  2 Cr 2.39

## Properties
The total magnetic moment comes out at 4.1 μB per formula unit. Its space group is Pm-3m, No. 221. The density is 7755 kg/m³. The total energy comes out at -31.168 eV per atom. The calculation puts the calculated volume at 108.9 Å³ per cell.

=====

Entry 8:
The following is a DFT calculation (meta-GGA SCAN) of a crystal of ScRu2Br relaxed with PBEsol.

a = 2.9975 Å, b = 4.4441 Å, c = 4.6655 Å
α = 90.00°, β = 90.00°, γ = 90.00°
Closest atoms and distances in Å follow each position.
Sites, in units of the cell vectors:
Br: 0.0000 0.5000 0.5000  4 Ru 2.68, 4 Sc 2.77, 2 Br 3.00
Ru: 0.0000 0.0000 0.0000  4 Sc 2.68, 6 Ru 2.77-3.00
Ru: 0.5000 0.0000 0.5000  4 Br 2.68, 6 Ru 2.77-3.00
Sc: 0.5000 0.5000 0.0000  4 Ru 2.68, 4 Br 2.77, 2 Sc 3.00

## Properties
The total magnetic moment comes out at 0.0 μB per formula unit. The calculation puts the formation energy from raw total energies at 0.206 eV/atom. Its space group is Pmmm, No. 47. The density is 8737 kg/m³. The total energy comes out at -25.631 eV per atom. As for the relative energy among the computed polymorphs: 337.0 meV per atom. The calculation puts the calculated volume at 62.2 Å³ per cell.

=====

Entry 9:
The following is a DFT calculation (meta-GGA SCAN) of a crystal of LiTaSb relaxed with PBEsol.

a = 4.2411 Å, b = 4.2411 Å, c = 4.2411 Å
α = 60.00°, β = 60.00°, γ = 60.00°
Closest atoms and distances in Å follow each position.
Sites, in units of the cell vectors:
Sb: 0.0000 0.0000 0.0000  4 Li 2.60
Ta: 0.5000 0.5000 0.5000  4 Li 2.60
Li: 0.7500 0.7500 0.7500  4 Ta 2.60, 4 Sb 2.60

## Properties
The total magnetic moment comes out at 2.2 μB per formula unit. The calculation puts the formation energy from raw total energies at 0.655 eV/atom. Its space group is F-43m, No. 216. The density is 9532 kg/m³. The total energy comes out at -34.757 eV per atom. As for the relative energy among the computed polymorphs: 476.4 meV per atom. The calculation puts the calculated volume at 53.9 Å³ per cell.

=====

Entry 10:
The following is a DFT calculation (meta-GGA SCAN) of a crystal of RbAuI2N relaxed with PBEsol.

a = 3.7653 Å, b = 6.2537 Å, c = 6.2537 Å
α = 90.00°, β = 90.00°, γ = 90.00°
Closest atoms and distances in Å follow each position.
Sites, in units of the cell vectors:
I: 0.0000 0.0000 0.5000  2 Au 3.13
I: 0.0000 0.5000 0.0000  2 Au 3.13
Au: 0.0000 0.0000 0.0000  2 N 1.88
Rb: 0.5000 0.5000 0.5000  8 I 3.65, 2 Rb 3.77
N: 0.5000 0.0000 0.0000  2 Au 1.88

## Properties
The total magnetic moment comes out at 0.0 μB per formula unit. The calculation puts the formation energy from raw total energies at 0.099 eV/atom. Its space group is P4/mmm, No. 123. The density is 6205 kg/m³. The total energy comes out at -34.435 eV per atom. As for the relative energy among the computed polymorphs: 0.0 meV per atom. The calculation puts the calculated volume at 147.3 Å³ per cell.

=====

Entry 11:
The following is a DFT calculation (meta-GGA SCAN) of a crystal of TlAuN2 relaxed with PBEsol.

a = 3.4652 Å, b = 3.4652 Å, c = 6.4783 Å
α = 74.49°, β = 74.49°, γ = 60.00°
Closest atoms and distances in Å follow each position.
Sites, in units of the cell vectors:
Tl: 0.5000 0.5000 0.5000  6 N 2.32
Au: 0.0000 0.0000 0.0000  2 N 1.90
N: 0.8970 0.8970 0.3091  1 Au 1.90
N: 0.1030 0.1030 0.6909  1 Au 1.90

## Properties
The total magnetic moment comes out at 0.0 μB per formula unit. The calculation puts the formation energy from raw total energies at 1.231 eV/atom. Its space group is R-3m, No. 166. The density is 11127 kg/m³. The total energy comes out at -38.793 eV per atom. The calculation puts the calculated volume at 64.1 Å³ per cell.

=====

Entry 12:
The following is a DFT calculation (meta-GGA SCAN) of a crystal of Tl2TePb relaxed with PBEsol.

a = 4.6655 Å, b = 4.6655 Å, c = 5.4845 Å
α = 90.00°, β = 90.00°, γ = 90.00°
Closest atoms and distances in Å follow each position.
Sites, in units of the cell vectors:
Pb: 0.5000 0.5000 0.5000  4 Te 3.30, 8 Tl 3.60
Tl: 0.0000 0.5000 0.0000  4 Tl 3.30, 4 Pb 3.60, 4 Te 3.60
Tl: 0.5000 0.0000 0.0000  4 Tl 3.30, 4 Pb 3.60, 4 Te 3.60
Te: 0.0000 0.0000 0.5000  4 Pb 3.30, 8 Tl 3.60

## Properties
The total magnetic moment comes out at 0.0 μB per formula unit. The calculation puts the formation energy from raw total energies at -0.114 eV/atom. Its space group is P4/mmm, No. 123. The density is 10343 kg/m³. The total energy comes out at -64.552 eV per atom. As for the relative energy among the computed polymorphs: 12.0 meV per atom. The calculation puts the calculated volume at 119.4 Å³ per cell.

=====

Which formula does entry 8 have? ScRu2Br